Arrangement 1

Below is a geometry-optimized PmDy4Er3 structure, with properties calculated at the PBE-GGA level.

Cell and atoms, written as POSCAR:
```
PmDy4Er3
1.0
-0.825 -6.033 -1.466
7.177 -1.020 0.160
-0.609 -2.570 10.916
Pm Dy Er
2 8 6
Cartesian
2.568 -1.273 -0.156
3.648 -5.830 4.609
6.156 -1.777 -0.075
0.362 -4.042 -0.931
-0.067 -6.694 1.330
5.733 -4.433 2.144
5.852 -3.075 5.380
0.062 -5.315 4.530
5.426 -5.727 7.641
-0.369 -7.970 6.749
3.951 -4.546 -0.850
3.525 -7.199 1.391
2.141 -3.927 2.083
2.265 -2.559 5.301
1.837 -5.212 7.542
3.221 -8.483 6.848
```

***

Arrangement 2

Below is a geometry-optimized PmDy4Er3 structure, with properties calculated at the PBE-GGA level.

Cell and atoms, written as POSCAR:
```
PmDy4Er3
1.0
5.517 0.000 -1.100
-0.064 3.530 -0.323
-0.231 1.208 13.232
Er Dy Pm
3 4 1
Cartesian
-0.032 1.765 -0.162
4.500 0.833 8.185
0.722 3.905 3.624
3.257 2.016 1.951
1.965 2.722 9.858
1.363 2.428 6.839
3.859 2.310 4.970
2.759 0.000 -0.550
```

***

Energy relative to the most stable one, in meV/atom: arrangement 1 0; arrangement 2 215

***

Arrangement 1

Below is a geometry-optimized Pm2Dy6Er3 structure, with properties calculated at the PBE-GGA level.

Cell and atoms, written as POSCAR:
```
Pm2Dy6Er3
1.0
-0.481 -3.410 3.227
3.562 1.848 2.484
-12.277 10.221 5.519
Pm Dy Er
2 6 3
Cartesian
-9.749 8.572 7.605
0.554 0.087 3.626
-0.840 3.229 3.286
-2.862 0.600 3.658
-8.355 5.430 7.944
-6.334 8.059 7.572
-2.678 2.929 6.146
-6.517 5.730 5.084
0.000 0.000 0.000
-4.890 4.873 7.872
-4.306 3.786 3.359
```

***

Arrangement 2

Below is a geometry-optimized Pm2Dy6Er3 structure, with properties calculated at the PBE-GGA level.

Cell and atoms, written as POSCAR:
```
Pm2Dy6Er3
1.0
-1.354 -5.929 0.393
4.256 -3.985 1.791
-3.680 -0.539 11.042
Pm Dy Er
2 6 3
Cartesian
0.772 -3.914 6.780
-1.550 -6.538 6.445
-0.498 -5.527 9.673
-3.787 -4.850 8.609
-1.464 -2.223 8.945
-1.248 -1.617 2.825
-0.280 -4.926 3.553
0.685 -8.230 4.280
0.000 0.000 0.000
0.955 -3.302 0.724
1.947 -6.612 1.460
```

***

Energy relative to the most stable one, in meV/atom: arrangement 1 95; arrangement 2 0

***

Arrangement 1

Below is a geometry-optimized Pm7DyEr12 structure, with properties calculated at the PBE-GGA level.

Cell and atoms, written as POSCAR:
```
Pm7DyEr12
1.0
-1.171 4.290 -8.639
-1.515 -9.556 -0.897
-6.358 3.706 6.344
Pm Dy Er
7 1 12
Cartesian
-1.343 -2.633 -4.768
-3.937 -2.925 2.724
-3.764 3.998 -1.148
-4.522 -0.780 -1.596
-3.179 1.853 3.172
-0.585 2.145 -4.320
-0.757 -4.778 -0.448
0.000 0.000 0.000
-6.523 -2.231 -0.269
-3.879 -1.992 -7.746
-2.521 0.671 -2.923
-5.164 0.432 4.554
-2.454 4.143 -4.941
-6.436 1.185 -2.185
-6.590 -5.703 1.749
-2.608 -2.745 -1.006
-5.241 -2.093 -3.969
-3.803 0.533 0.777
-7.611 4.577 -0.384
-1.433 -6.137 -2.808
```

***

Arrangement 2

Below is a geometry-optimized Pm7DyEr12 structure, with properties calculated at the PBE-GGA level.

Cell and atoms, written as POSCAR:
```
Pm7DyEr12
1.0
8.421 1.293 1.941
-1.099 8.449 1.941
-1.099 -1.462 8.545
Pm Dy Er
7 1 12
Cartesian
5.438 4.825 10.698
3.100 0.936 2.248
0.037 0.828 3.855
3.111 4.140 6.214
6.186 7.452 8.573
3.123 7.344 10.179
0.785 3.455 1.730
0.000 0.000 0.000
6.114 2.191 8.369
5.818 3.054 3.222
4.508 1.209 5.706
6.315 4.811 5.923
1.315 0.494 7.182
2.865 2.614 9.114
3.358 5.665 3.313
4.908 7.786 5.245
-0.093 3.469 6.504
1.714 7.071 6.721
0.405 5.226 9.205
0.109 6.088 4.059
```

***

Energy relative to the most stable one, in meV/atom: arrangement 1 432; arrangement 2 0

***

Arrangement 1

Below is a geometry-optimized PmPrDyEr structure, with properties calculated at the PBE-GGA level.

Cell and atoms, written as POSCAR:
```
PmPrDyEr
1.0
-0.300 -0.231 3.442
4.367 -5.234 0.029
4.310 3.599 0.618
Pm Pr Dy Er
1 1 1 1
Cartesian
6.308 -3.032 0.347
4.209 -0.522 0.332
0.914 -0.953 0.016
2.968 -3.710 1.752
```

***

Arrangement 2

Below is a geometry-optimized PmPrDyEr structure, with properties calculated at the PBE-GGA level.

Cell and atoms, written as POSCAR:
```
PmPrDyEr
1.0
-1.782 -5.438 -0.377
3.719 -4.148 -1.360
1.605 -3.824 3.961
Pr Dy Pm Er
1 1 1 1
Cartesian
0.886 -3.353 0.556
0.000 0.000 0.000
2.657 -10.058 1.668
1.771 -6.706 1.112
```

***

Energy relative to the most stable one, in meV/atom: arrangement 1 70; arrangement 2 0